# NaSrP2W | Alexandria | PBE | relaxed
# E_form (meV/atom): 1819
data_NaSrP2W
_cell_length_a 5.554
_cell_length_b 5.554
_cell_length_c 5.865
_cell_angle_alpha 90.00
_cell_angle_beta 90.00
_cell_angle_gamma 90.00
_symmetry_space_group_name_H-M 'P 4/m m m'
_symmetry_Int_Tables_number 123
_symmetry_space_group_name_Hall '-P 4 2'
loop_
_atom_site_label
_atom_site_fract_x
_atom_site_fract_y
_atom_site_fract_z
Na1 0.000 0.000 0.000
Sr1 0.500 0.500 0.500
P1 0.000 0.500 0.500
W1 0.500 0.500 0.000


# NaTa3P | Alexandria | PBE | relaxed
# E_form (meV/atom): 655
# Energy above the most stable polymorph in this dataset (meV/atom): 0
data_NaTa3P
_cell_length_a 4.686
_cell_length_b 4.686
_cell_length_c 4.686
_cell_angle_alpha 90.00
_cell_angle_beta 90.00
_cell_angle_gamma 90.00
_symmetry_space_group_name_H-M 'P m -3 m'
_symmetry_Int_Tables_number 221
_symmetry_space_group_name_Hall '-P 4 2 3'
loop_
_atom_site_label
_atom_site_fract_x
_atom_site_fract_y
_atom_site_fract_z
Na1 0.000 0.000 0.000
Ta1 0.000 0.500 0.500
P1 0.500 0.500 0.500


# NaTaP2 | Alexandria | PBE | relaxed
# E_form (meV/atom): -496
# Energy above the most stable polymorph in this dataset (meV/atom): 0
data_NaTaP2
_cell_length_a 3.4990
_cell_length_b 3.4990
_cell_length_c 21.8459
_cell_angle_alpha 90.00
_cell_angle_beta 90.00
_cell_angle_gamma 120.00
_symmetry_space_group_name_H-M 'R -3 m'
_symmetry_Int_Tables_number 166
_symmetry_space_group_name_Hall '-R 3 2"'
loop_
_atom_site_label
_atom_site_fract_x
_atom_site_fract_y
_atom_site_fract_z
Na1 0.0000 0.0000 0.0000
Ta1 0.0000 0.0000 0.5000
P1 0.0000 0.0000 0.2371


# NaTaP2 | Alexandria | PBE | relaxed
# E_form (meV/atom): -492
# Energy above the most stable polymorph in this dataset (meV/atom): 4
data_NaTaP2
_cell_length_a 3.5119
_cell_length_b 3.5119
_cell_length_c 21.8617
_cell_angle_alpha 90.00
_cell_angle_beta 90.00
_cell_angle_gamma 120.00
_symmetry_space_group_name_H-M 'R 3 m'
_symmetry_Int_Tables_number 160
_symmetry_space_group_name_Hall 'R 3 -2"'
loop_
_atom_site_label
_atom_site_fract_x
_atom_site_fract_y
_atom_site_fract_z
Na1 0.0000 0.0000 0.0000
Ta1 0.0000 0.0000 0.1680
P1 0.0000 0.0000 0.5707
P2 0.0000 0.0000 0.7644


# Na6TaP4 | Alexandria | PBE | relaxed
# E_form (meV/atom): -436
data_Na6TaP4
_cell_length_a 9.3026
_cell_length_b 9.3026
_cell_length_c 7.1725
_cell_angle_alpha 90.00
_cell_angle_beta 90.00
_cell_angle_gamma 120.00
_symmetry_space_group_name_H-M 'P 63 m c'
_symmetry_Int_Tables_number 186
_symmetry_space_group_name_Hall 'P 6c -2c'
loop_
_atom_site_label
_atom_site_fract_x
_atom_site_fract_y
_atom_site_fract_z
Na1 0.0648 0.5324 0.0000
Na2 0.1456 0.2912 0.3199
Ta1 0.3333 0.6667 0.6152
P1 0.1916 0.3831 0.7155
P2 0.3333 0.6667 0.2835


# Na3TaP | Alexandria | PBE | relaxed
# E_form (meV/atom): 1765
# Energy above the most stable polymorph in this dataset (meV/atom): 614
data_Na3TaP
_cell_length_a 5.838
_cell_length_b 5.838
_cell_length_c 5.838
_cell_angle_alpha 90.00
_cell_angle_beta 90.00
_cell_angle_gamma 90.00
_symmetry_space_group_name_H-M 'P m -3 m'
_symmetry_Int_Tables_number 221
_symmetry_space_group_name_Hall '-P 4 2 3'
loop_
_atom_site_label
_atom_site_fract_x
_atom_site_fract_y
_atom_site_fract_z
Na1 0.000 0.000 0.500
Ta1 0.000 0.000 0.000
P1 0.500 0.500 0.500


# Na3TaP | Alexandria | PBE | relaxed
# E_form (meV/atom): 1150
# Energy above the most stable polymorph in this dataset (meV/atom): 0
data_Na3TaP
_cell_length_a 5.350
_cell_length_b 5.350
_cell_length_c 5.350
_cell_angle_alpha 90.00
_cell_angle_beta 90.00
_cell_angle_gamma 90.00
_symmetry_space_group_name_H-M 'P m -3 m'
_symmetry_Int_Tables_number 221
_symmetry_space_group_name_Hall '-P 4 2 3'
loop_
_atom_site_label
_atom_site_fract_x
_atom_site_fract_y
_atom_site_fract_z
Na1 0.000 0.000 0.500
Ta1 0.500 0.500 0.500
P1 0.000 0.000 0.000


# NaTa2P | Alexandria | PBE | relaxed
# E_form (meV/atom): 875
data_NaTa2P
_cell_length_a 4.462
_cell_length_b 4.462
_cell_length_c 18.321
_cell_angle_alpha 90.00
_cell_angle_beta 90.00
_cell_angle_gamma 90.00
_symmetry_space_group_name_H-M 'I -4 2 d'
_symmetry_Int_Tables_number 122
_symmetry_space_group_name_Hall 'I -4 2bw'
loop_
_atom_site_label
_atom_site_fract_x
_atom_site_fract_y
_atom_site_fract_z
Na1 0.000 0.000 0.000
Ta1 0.115 0.250 0.625
P1 0.000 0.000 0.500


# NaTa3P | Alexandria | PBE | relaxed
# E_form (meV/atom): 2436
# Energy above the most stable polymorph in this dataset (meV/atom): 1781
data_NaTa3P
_cell_length_a 4.637
_cell_length_b 4.637
_cell_length_c 4.637
_cell_angle_alpha 90.00
_cell_angle_beta 90.00
_cell_angle_gamma 90.00
_symmetry_space_group_name_H-M 'P m -3 m'
_symmetry_Int_Tables_number 221
_symmetry_space_group_name_Hall '-P 4 2 3'
loop_
_atom_site_label
_atom_site_fract_x
_atom_site_fract_y
_atom_site_fract_z
Na1 0.000 0.000 0.000
Ta1 0.000 0.000 0.500
P1 0.500 0.500 0.500


# NaTaP2 | Alexandria | PBE | relaxed
# E_form (meV/atom): -210
# Energy above the most stable polymorph in this dataset (meV/atom): 286
data_NaTaP2
_cell_length_a 6.426
_cell_length_b 6.426
_cell_length_c 10.563
_cell_angle_alpha 90.00
_cell_angle_beta 90.00
_cell_angle_gamma 90.00
_symmetry_space_group_name_H-M 'I -4 2 d'
_symmetry_Int_Tables_number 122
_symmetry_space_group_name_Hall 'I -4 2bw'
loop_
_atom_site_label
_atom_site_fract_x
_atom_site_fract_y
_atom_site_fract_z
Na1 0.000 0.000 0.000
Ta1 0.000 0.000 0.500
P1 0.180 0.250 0.625


# NaTa2P2 | Alexandria | PBE | relaxed
# E_form (meV/atom): -57
# Energy above the most stable polymorph in this dataset (meV/atom): 104
data_NaTa2P2
_cell_length_a 4.714
_cell_length_b 4.714
_cell_length_c 8.945
_cell_angle_alpha 90.00
_cell_angle_beta 90.00
_cell_angle_gamma 90.00
_symmetry_space_group_name_H-M 'I 4/m m m'
_symmetry_Int_Tables_number 139
_symmetry_space_group_name_Hall '-I 4 2'
loop_
_atom_site_label
_atom_site_fract_x
_atom_site_fract_y
_atom_site_fract_z
Na1 0.000 0.000 0.000
Ta1 0.000 0.000 0.350
P1 0.000 0.500 0.250


# NaTa2P2 | Alexandria | PBE | relaxed
# E_form (meV/atom): -161
# Energy above the most stable polymorph in this dataset (meV/atom): 0
data_NaTa2P2
_cell_length_a 7.307
_cell_length_b 7.307
_cell_length_c 3.141
_cell_angle_alpha 90.00
_cell_angle_beta 90.00
_cell_angle_gamma 90.00
_symmetry_space_group_name_H-M 'P 4/m b m'
_symmetry_Int_Tables_number 127
_symmetry_space_group_name_Hall '-P 4 2ab'
loop_
_atom_site_label
_atom_site_fract_x
_atom_site_fract_y
_atom_site_fract_z
Na1 0.000 0.000 0.000
Ta1 0.135 0.365 0.000
P1 0.150 0.650 0.500


# NaTaP2 | Alexandria | PBE | relaxed
# E_form (meV/atom): 61
# Energy above the most stable polymorph in this dataset (meV/atom): 557
data_NaTaP2
_cell_length_a 6.389
_cell_length_b 6.389
_cell_length_c 6.389
_cell_angle_alpha 90.00
_cell_angle_beta 90.00
_cell_angle_gamma 90.00
_symmetry_space_group_name_H-M 'F m -3 m'
_symmetry_Int_Tables_number 225
_symmetry_space_group_name_Hall '-F 4 2 3'
loop_
_atom_site_label
_atom_site_fract_x
_atom_site_fract_y
_atom_site_fract_z
Na1 0.000 0.000 0.000
Ta1 0.000 0.000 0.500
P1 0.250 0.250 0.250


# NaYTaP2 | Alexandria | PBE | relaxed
# E_form (meV/atom): 239
data_NaYTaP2
_cell_length_a 4.921
_cell_length_b 4.921
_cell_length_c 5.363
_cell_angle_alpha 90.00
_cell_angle_beta 90.00
_cell_angle_gamma 90.00
_symmetry_space_group_name_H-M 'P 4/m m m'
_symmetry_Int_Tables_number 123
_symmetry_space_group_name_Hall '-P 4 2'
loop_
_atom_site_label
_atom_site_fract_x
_atom_site_fract_y
_atom_site_fract_z
Na1 0.000 0.000 0.000
Y1 0.500 0.500 0.000
Ta1 0.500 0.500 0.500
P1 0.000 0.500 0.500


# NaTc3P | Alexandria | PBE | relaxed
# E_form (meV/atom): 670
# Energy above the most stable polymorph in this dataset (meV/atom): 0
data_NaTc3P
_cell_length_a 4.447
_cell_length_b 4.447
_cell_length_c 4.447
_cell_angle_alpha 90.00
_cell_angle_beta 90.00
_cell_angle_gamma 90.00
_symmetry_space_group_name_H-M 'P m -3 m'
_symmetry_Int_Tables_number 221
_symmetry_space_group_name_Hall '-P 4 2 3'
loop_
_atom_site_label
_atom_site_fract_x
_atom_site_fract_y
_atom_site_fract_z
Na1 0.000 0.000 0.000
Tc1 0.000 0.500 0.500
P1 0.500 0.500 0.500


# Na3TcP | Alexandria | PBE | relaxed
# E_form (meV/atom): 1471
# Energy above the most stable polymorph in this dataset (meV/atom): 544
data_Na3TcP
_cell_length_a 5.552
_cell_length_b 5.552
_cell_length_c 5.552
_cell_angle_alpha 90.00
_cell_angle_beta 90.00
_cell_angle_gamma 90.00
_symmetry_space_group_name_H-M 'P m -3 m'
_symmetry_Int_Tables_number 221
_symmetry_space_group_name_Hall '-P 4 2 3'
loop_
_atom_site_label
_atom_site_fract_x
_atom_site_fract_y
_atom_site_fract_z
Na1 0.000 0.000 0.500
Tc1 0.000 0.000 0.000
P1 0.500 0.500 0.500


# NaTcP2 | Alexandria | PBE | relaxed
# E_form (meV/atom): -287
# Energy above the most stable polymorph in this dataset (meV/atom): 74
data_NaTcP2
_cell_length_a 3.1802
_cell_length_b 3.1802
_cell_length_c 23.3830
_cell_angle_alpha 90.00
_cell_angle_beta 90.00
_cell_angle_gamma 120.00
_symmetry_space_group_name_H-M 'R -3 m'
_symmetry_Int_Tables_number 166
_symmetry_space_group_name_Hall '-R 3 2"'
loop_
_atom_site_label
_atom_site_fract_x
_atom_site_fract_y
_atom_site_fract_z
Na1 0.0000 0.0000 0.0000
Tc1 0.0000 0.0000 0.5000
P1 0.0000 0.0000 0.2349


# NaTcP2 | Alexandria | PBE | relaxed
# E_form (meV/atom): -288
# Energy above the most stable polymorph in this dataset (meV/atom): 73
data_NaTcP2
_cell_length_a 3.1714
_cell_length_b 3.1714
_cell_length_c 23.5066
_cell_angle_alpha 90.00
_cell_angle_beta 90.00
_cell_angle_gamma 120.00
_symmetry_space_group_name_H-M 'R 3 m'
_symmetry_Int_Tables_number 160
_symmetry_space_group_name_Hall 'R 3 -2"'
loop_
_atom_site_label
_atom_site_fract_x
_atom_site_fract_y
_atom_site_fract_z
Na1 0.0000 0.0000 0.0000
Tc1 0.0000 0.0000 0.1657
P1 0.0000 0.0000 0.5672
P2 0.0000 0.0000 0.7643


# NaTcP2 | Alexandria | PBE | relaxed
# E_form (meV/atom): 100
# Energy above the most stable polymorph in this dataset (meV/atom): 461
data_NaTcP2
_cell_length_a 6.123
_cell_length_b 6.123
_cell_length_c 6.123
_cell_angle_alpha 90.00
_cell_angle_beta 90.00
_cell_angle_gamma 90.00
_symmetry_space_group_name_H-M 'F m -3 m'
_symmetry_Int_Tables_number 225
_symmetry_space_group_name_Hall '-F 4 2 3'
loop_
_atom_site_label
_atom_site_fract_x
_atom_site_fract_y
_atom_site_fract_z
Na1 0.000 0.000 0.000
Tc1 0.000 0.000 0.500
P1 0.250 0.250 0.250


# NaTc4P2 | Alexandria | PBE | relaxed
# E_form (meV/atom): -307
data_NaTc4P2
_cell_length_a 4.062
_cell_length_b 13.611
_cell_length_c 4.027
_cell_angle_alpha 90.00
_cell_angle_beta 90.00
_cell_angle_gamma 90.00
_symmetry_space_group_name_H-M 'C m m m'
_symmetry_Int_Tables_number 65
_symmetry_space_group_name_Hall '-C 2 2'
loop_
_atom_site_label
_atom_site_fract_x
_atom_site_fract_y
_atom_site_fract_z
Na1 0.000 0.000 0.000
Tc1 0.000 0.184 0.500
Tc2 0.000 0.306 0.000
P1 0.000 0.414 0.500